No. 1
## Na4Ge9O20 (PBE)

Data for Na4Ge9O20 after structural relaxation.

POSCAR file:
```
Na4Ge9O20
1.0
-7.6243 7.6243 3.7532
7.6243 -7.6243 3.7532
7.6243 7.6243 -3.7532
Na Ge O
8 18 40
direct
0.2252 0.2558 0.1421
0.2442 0.8862 0.9694
0.3862 0.9168 0.6421
0.4168 0.2748 0.5306
0.5832 0.7252 0.4694
0.6138 0.0832 0.3579
0.7558 0.1138 0.0306
0.7748 0.7442 0.8579
0.0630 0.2469 0.4096
0.0861 0.2721 0.8775
0.1054 0.7914 0.3775
0.1534 0.5630 0.3161
0.2279 0.6054 0.8140
0.2531 0.1627 0.8161
0.2914 0.4139 0.6860
0.3373 0.6534 0.0904
0.3750 0.1250 0.2500
0.6250 0.8750 0.7500
0.6627 0.3466 0.9096
0.7086 0.5861 0.3140
0.7469 0.8373 0.1839
0.7721 0.3946 0.1860
0.8466 0.4370 0.6839
0.8946 0.2086 0.6225
0.9139 0.7279 0.1225
0.9370 0.7531 0.5904
0.0186 0.9022 0.7384
0.0241 0.6665 0.1971
0.0306 0.1730 0.6971
0.1046 0.6511 0.7642
0.1511 0.8870 0.5465
0.1596 0.3954 0.0465
0.1637 0.9677 0.1186
0.1665 0.4694 0.6424
0.1959 0.2154 0.9291
0.2137 0.7332 0.4291
0.2198 0.4814 0.3835
0.2332 0.3041 0.5196
0.2846 0.7137 0.9804
0.3270 0.5241 0.8576
0.3362 0.7198 0.2384
0.3491 0.0450 0.3814
0.3870 0.3404 0.7358
0.4022 0.1638 0.8835
0.4550 0.3363 0.3040
0.4677 0.8491 0.8040
0.5323 0.1509 0.1960
0.5450 0.6637 0.6960
0.5978 0.8362 0.1165
0.6130 0.6596 0.2642
0.6509 0.9550 0.6186
0.6638 0.2802 0.7616
0.6730 0.4759 0.1424
0.7154 0.2863 0.0196
0.7668 0.6959 0.4804
0.7802 0.5186 0.6165
0.7863 0.2668 0.5709
0.8041 0.7846 0.0709
0.8335 0.5306 0.3576
0.8363 0.0323 0.8814
0.8404 0.6046 0.9535
0.8489 0.1130 0.4535
0.8954 0.3489 0.2358
0.9694 0.8270 0.3029
0.9759 0.3335 0.8029
0.9814 0.0978 0.2616
```

The calculation puts the formation energy from raw total energies at -57.2 eV per formula unit. Its space-group type is No. 88.

No. 2
## SrMnHg (PBE)

Data for SrMnHg after structural relaxation.

POSCAR file:
```
SrMnHg
1.0
4.8041 0.0000 0.0000
-2.4021 4.1605 0.0000
0.0000 0.0000 4.2045
Sr Mn Hg
1 1 1
direct
0.0000 0.0000 0.0000
0.3333 0.6667 0.5000
0.6667 0.3333 0.5000
```

For the calculated formation energy, the calculation gives 0.071 eV/atom. Its space-group type is No. 187.

No. 3
## K3Tm (PBE)

Data for K3Tm after structural relaxation.

POSCAR file:
```
K3Tm
1.0
8.5716 0.0000 0.0000
-4.2858 7.4233 0.0000
0.0000 0.0000 7.0172
K Tm
6 2
direct
0.1720 0.3441 0.2500
0.1720 0.8280 0.2500
0.3441 0.1720 0.7500
0.6559 0.8280 0.2500
0.8280 0.1720 0.7500
0.8280 0.6559 0.7500
0.3333 0.6667 0.7500
0.6667 0.3333 0.2500
```

For the calculated formation energy, the calculation gives 0.574 eV/atom. Its space-group type is No. 194.

Copy entry 2 word for word.
## SrMnHg (PBE)

Data for SrMnHg after structural relaxation.

POSCAR file:
```
SrMnHg
1.0
4.8041 0.0000 0.0000
-2.4021 4.1605 0.0000
0.0000 0.0000 4.2045
Sr Mn Hg
1 1 1
direct
0.0000 0.0000 0.0000
0.3333 0.6667 0.5000
0.6667 0.3333 0.5000
```

For the calculated formation energy, the calculation gives 0.071 eV/atom. Its space-group type is No. 187.